(1)
The following is a DFT calculation (GGA-PBE) of a relaxed NaScCuSe3 crystal.

raw total energy: -4.693 eV/atom
volume: 134 Å³/f.u.

extended XYZ file:
```
24
Lattice="13.588 0.000 0.000 0.000 3.812 0.000 0.000 0.000 10.322" Properties=species:S:1:pos:R:3 pbc="T T T"
Na 3.101 0.953 0.514
Na 3.693 2.859 5.675
Na 9.895 0.953 4.647
Na 10.487 2.859 9.808
Sc 0.233 0.953 3.506
Sc 6.562 2.859 8.667
Sc 7.027 0.953 1.655
Sc 13.356 2.859 6.816
Cu 0.161 2.859 0.958
Cu 6.633 0.953 6.119
Cu 6.955 2.859 4.204
Cu 13.428 0.953 9.365
Se 1.343 2.859 9.098
Se 1.460 0.953 5.902
Se 1.918 2.859 2.625
Se 4.877 0.953 7.786
Se 5.334 2.859 0.741
Se 5.451 0.953 3.936
Se 8.137 2.859 6.386
Se 8.254 0.953 9.581
Se 8.712 2.859 2.537
Se 11.671 0.953 7.698
Se 12.129 2.859 4.420
Se 12.245 0.953 1.225
```


(2)
The following is a DFT calculation (GGA-PBE) of a relaxed Zr3Sc2Hg3 crystal.

E_form: -0.0813 eV per atom
raw total energy: -4.980 eV/atom
volume: 179 Å³/f.u.
E above lowest polymorph: 0 meV/atom

extended XYZ file:
```
8
Lattice="5.081 0.000 0.000 0.000 3.197 5.503 0.000 -3.197 5.503" Properties=species:S:1:pos:R:3 pbc="T T T"
Zr 0.000 0.000 0.000
Zr 2.540 -1.736 6.310
Zr 2.540 1.736 6.310
Sc 0.000 0.000 5.359
Sc 2.540 0.000 9.023
Hg 0.000 -1.512 8.133
Hg 0.000 1.512 8.133
Hg 2.540 0.000 3.676
```


(3)
The following is a DFT calculation (GGA-PBE) of a relaxed TbY2S3 crystal.

raw total energy: -6.992 eV/atom
volume: 127 Å³/f.u.

extended XYZ file:
```
6
Lattice="3.909 0.000 0.000 -1.954 3.385 0.000 0.000 0.000 9.626" Properties=species:S:1:pos:R:3 pbc="T T T"
Tb 0.000 0.000 0.000
Y 0.000 2.257 6.419
Y 1.954 1.128 3.207
S 0.000 0.000 4.813
S 0.000 2.257 1.606
S 1.954 1.128 8.019
```


(4)
The following is a DFT calculation (GGA-PBE) of a relaxed GdMgZn crystal.

raw total energy: -2.636 eV/atom
volume: 69 Å³/f.u.

extended XYZ file:
```
12
Lattice="6.237 0.000 0.000 2.865 5.726 0.000 0.462 0.694 7.749" Properties=species:S:1:pos:R:3 pbc="T T T"
Gd 0.000 0.000 0.000
Gd 1.590 1.027 2.764
Gd 3.945 2.529 5.003
Gd 6.416 4.139 2.390
Mg 2.227 3.493 7.682
Mg 5.469 5.338 5.544
Mg 6.998 2.664 5.285
Mg 8.478 5.378 4.772
Zn 3.251 3.747 2.306
Zn 3.177 0.332 0.059
Zn 5.239 3.504 7.705
Zn 4.699 1.396 2.293
```


(5)
The following is a DFT calculation (GGA-PBE) of a relaxed CoPd3 crystal.

E_form: 0.1635 eV per atom
raw total energy: -5.495 eV/atom
volume: 61 Å³/f.u.

extended XYZ file:
```
8
Lattice="4.260 0.000 0.000 -2.130 3.690 0.000 0.000 0.000 7.733" Properties=species:S:1:pos:R:3 pbc="T T T"
Co 0.000 2.460 1.933
Co 2.130 1.230 5.800
Pd 0.000 0.000 1.933
Pd 0.000 0.000 5.800
Pd 0.000 2.460 4.456
Pd 0.000 2.460 7.143
Pd 2.130 1.230 0.590
Pd 2.130 1.230 3.276
```


(6)
The following is a DFT calculation (GGA-PBE) of a relaxed Ho2Br crystal.

raw total energy: -3.434 eV/atom
volume: 99 Å³/f.u.
E above lowest polymorph: 252 meV/atom

extended XYZ file:
```
6
Lattice="0.000 4.627 4.627 4.627 0.000 4.627 4.627 4.627 0.000" Properties=species:S:1:pos:R:3 pbc="T T T"
Ho 0.000 0.000 0.000
Ho 2.314 2.314 0.000
Ho 2.314 0.000 2.314
Ho 0.000 2.314 2.314
Br 3.470 3.470 3.470
Br 5.784 5.784 5.784
```


(7)
The following is a DFT calculation (GGA-PBE) of a relaxed NdGdZnNi2 crystal.

E_form: -0.4038 eV per atom
raw total energy: -4.767 eV/atom
volume: 96 Å³/f.u.

extended XYZ file:
```
5
Lattice="-2.143 2.714 4.136 2.143 -2.714 4.136 2.143 2.714 -4.136" Properties=species:S:1:pos:R:3 pbc="T T T"
Nd 0.000 0.000 0.000
Gd 0.000 0.000 4.920
Zn 2.143 0.000 2.459
Ni 2.143 1.255 -1.678
Ni 0.000 1.459 2.458
```


(8)
The following is a DFT calculation (GGA-PBE) of a relaxed Pt4O11 crystal.

raw total energy: -5.195 eV/atom
volume: 199 Å³/f.u.
E above lowest polymorph: 30 meV/atom

extended XYZ file:
```
15
Lattice="4.570 0.000 0.000 1.221 5.032 0.000 1.412 1.585 8.646" Properties=species:S:1:pos:R:3 pbc="T T T"
Pt 0.000 0.000 0.000
Pt 2.574 3.984 7.139
Pt 3.815 3.403 4.448
Pt 4.594 2.647 1.594
O 0.720 0.881 1.649
O 2.111 3.457 5.252
O 1.662 3.078 0.364
O 2.968 2.101 7.582
O 3.085 2.695 2.732
O 4.254 4.241 6.206
O 4.521 4.848 3.621
O 4.248 4.485 1.031
O 4.647 1.834 4.733
O 5.467 3.458 8.185
O 6.496 5.795 6.982
```


(9)
The following is a DFT calculation (GGA-PBE) of a relaxed SmAg4Se3 crystal.

raw total energy: -3.325 eV/atom
volume: 181 Å³/f.u.

extended XYZ file:
```
8
Lattice="-2.853 2.853 5.559 2.853 -2.853 5.559 2.853 2.853 -5.559" Properties=species:S:1:pos:R:3 pbc="T T T"
Sm 0.000 0.000 0.000
Ag 2.853 0.000 0.000
Ag 0.000 0.000 2.903
Ag 0.000 2.853 0.000
Ag 0.000 0.000 8.214
Se 2.853 0.000 2.779
Se 0.000 0.000 5.559
Se 0.000 2.853 2.779
```


(10)
The following is a DFT calculation (GGA-PBE) of a relaxed Pr2HoSn3PdPt2 crystal.

raw total energy: -5.837 eV/atom
volume: 207 Å³/f.u.

extended XYZ file:
```
9
Lattice="4.104 0.000 0.000 0.000 6.589 3.822 0.000 -6.589 3.822" Properties=species:S:1:pos:R:3 pbc="T T T"
Pr 0.000 -3.878 3.822
Pr 0.000 3.878 3.822
Ho 0.000 0.000 2.940
Sn 2.052 0.000 0.370
Sn 2.052 -1.652 5.081
Sn 2.052 1.652 5.081
Pd 0.000 0.000 6.018
Pt 2.052 -2.114 2.270
Pt 2.052 2.114 2.270
```


(11)
The following is a DFT calculation (GGA-PBE) of a relaxed ErTmReSi2 crystal.

raw total energy: -7.137 eV/atom
volume: 98 Å³/f.u.
E above lowest polymorph: 5 meV/atom

extended XYZ file:
```
10
Lattice="5.392 -2.074 0.000 5.392 2.074 0.000 -4.724 0.000 8.742" Properties=species:S:1:pos:R:3 pbc="T T T"
Er -0.749 0.000 1.570
Er 6.810 0.000 7.172
Tm -0.879 0.000 5.347
Tm 6.940 0.000 3.395
Re 2.321 0.000 1.138
Re 3.740 0.000 7.604
Si -0.532 0.000 8.235
Si 2.421 0.000 5.445
Si 3.640 0.000 3.298
Si 6.593 0.000 0.507
```


(12)
The following is a DFT calculation (GGA-PBE) of a relaxed MgNbSbTe crystal.

raw total energy: -4.706 eV/atom
volume: 89 Å³/f.u.
E above lowest polymorph: 0 meV/atom

extended XYZ file:
```
4
Lattice="0.000 3.550 3.550 3.550 0.000 3.550 3.550 3.550 0.000" Properties=species:S:1:pos:R:3 pbc="T T T"
Mg 0.000 0.000 0.000
Nb 3.550 3.550 3.550
Sb 5.325 5.325 5.325
Te 1.775 1.775 1.775
```


Which of these has the lowest volume?
CoPd3